Here is a geometry-optimized K4Er3FeO8 structure from the Alexandria database. Energies are from PBE+U.

a = 7.337 Å, b = 7.337 Å, c = 7.337 Å
α = 54.69°, β = 54.69°, γ = 54.69°
Atoms (fractional coordinates):
K  0.000  0.000  0.000
K  0.000  0.500  0.500
K  0.500  0.000  0.500
K  0.500  0.500  0.000
Er  0.000  0.000  0.500
Er  0.000  0.500  0.000
Er  0.500  0.000  0.000
Fe  0.500  0.500  0.500
O  0.228  0.228  0.228
O  0.242  0.720  0.720
O  0.280  0.280  0.758
O  0.280  0.758  0.280
O  0.720  0.242  0.720
O  0.720  0.720  0.242
O  0.758  0.280  0.280
O  0.772  0.772  0.772

Calculated values
space-group type: R-3m, No. 166
electronic total energy: -102.3 eV per formula unit
total moment: 4.93 Bohr magnetons per cell